(1)
Density functional theory data (PBE-GGA) for a geometry-optimized TeOs2Br structure.

**Calculated volume**: 70.8 Å³ per cell
**Formation energy from raw total energies**: 1.195 eV/atom
**Energy relative to the lowest polymorph listed for this composition**: 876 meV/atom
**VASP energy**: -22.49 eV/cell

```
TeOs2Br
1.0
-1.171 2.468 -1.503
-4.242 0.038 3.366
-0.725 2.589 4.816
Os Br Te
2 1 1
Direct
0.500 0.500 0.000
0.000 0.000 0.000
0.000 0.000 0.500
0.500 0.500 0.500
```

***

(2)
Density functional theory data (PBE-GGA) for a geometry-optimized CrP4Pt structure.

**Calculated volume**: 89.5 Å³ per cell
**ΔE_f**: 0.63 eV/atom
**VASP energy**: -33.54 eV/cell

```
CrP4Pt
1.0
-1.531 -1.207 4.627
-4.447 1.620 1.675
-3.780 -3.244 0.627
P Pt Cr
4 1 1
Direct
0.377 0.377 0.869
0.377 0.377 0.377
0.377 0.869 0.377
0.869 0.377 0.377
0.750 0.750 0.750
0.000 0.000 0.000
```